[1]
Nd2Ge4Ir3Ru | PBE-GGA | optimized geometry

Cell lengths 4.3288, 4.3288, 9.9599 Å; angles 90.00, 90.00, 90.00 degrees
Positions (direct):
Nd 0.0000 0.5000 0.7517
Ir 0.0000 0.0000 0.5000
Ge 0.5000 0.0000 0.6257
Ge 0.0000 0.5000 0.3743
Ge 0.0000 0.0000 0.0000
Nd 0.5000 0.0000 0.2483
Ir 0.5000 0.0000 0.8736
Ir 0.0000 0.5000 0.1264
Ge 0.5000 0.5000 0.0000
Ru 0.5000 0.5000 0.5000

Properties
Its space group is No. 115. Its final energy is -7.13 eV per atom.


[2]
LiGeI2 | PBE-GGA | optimized geometry

Cell lengths 5.4195, 5.4195, 5.4195 Å; angles 60.00, 60.00, 60.00 degrees
Positions (direct):
I 0.7500 0.7500 0.7500
Ge 0.5000 0.5000 0.5000
I 0.2500 0.2500 0.2500
Li 0.0000 0.0000 0.0000

Properties
For the formation energy from raw total energies, the calculation gives -171 meV/atom. Its space group is No. 225.


[3]
NaHf2H | PBE-GGA | optimized geometry

Cell lengths 6.2440, 6.2440, 6.0763 Å; angles 59.08, 59.08, 90.00 degrees
Positions (direct):
Hf 0.8750 0.6961 0.7500
H 0.2500 0.7500 0.5000
Hf 0.4461 0.1250 0.2500
Na 0.0000 0.0000 0.0000
Hf 0.3039 0.6250 0.2500
H 0.5000 0.5000 0.0000
Hf 0.3750 0.5539 0.7500
Na 0.7500 0.2500 0.5000

Properties
Its space group is No. 122. Its final energy is -5.72 eV per atom.


[4]
Tl2SnBrCl5 | PBE-GGA | optimized geometry

Cell lengths 7.3812, 7.3812, 7.3812 Å; angles 88.39, 120.93, 120.93 degrees
Positions (direct):
Br 0.0000 0.7608 0.7608
Cl 0.5195 0.7702 0.7702
Cl 0.0000 0.2508 0.7702
Sn 0.0000 0.0097 0.0097
Cl 0.0000 0.2430 0.2430
Cl 0.4805 0.2508 0.2508
Cl 0.0000 0.7702 0.2508
Tl 0.5000 0.2222 0.7222
Tl 0.5000 0.7222 0.2222

Properties
For the formation energy from raw total energies, the calculation gives -978 meV/atom. Its space group is No. 107.